The following is a GGA-PBE calculation of crystalline Tl2InSiAu at its relaxed geometry, from Alexandria via LeMat-Bulk.

Calculated values
Fermi-level density of states: 0.852 states/eV per atom
formation energy from raw total energies: 0.820 eV/atom
size of the total moment: 0.003 μB/atom
crystal system: tetragonal

Cell lengths 5.851, 5.851, 5.128 Å; angles 90.00, 90.00, 90.00 degrees
Space group P4/mmm (No. 123)
Unique sites:
Tl1 0.000 0.500 0.000 [2 per cell]
In1 0.000 0.000 0.000 [1 per cell]
Si1 0.500 0.500 0.500 [1 per cell]
Au1 0.000 0.000 0.500 [1 per cell]


The following is a GGA-PBE calculation of crystalline Cs2HgBiBr6 at its relaxed geometry, from Alexandria via LeMat-Bulk.

Calculated values
Fermi-level density of states: 0.312 states/eV per atom
formation energy from raw total energies: -1.085 eV/atom
size of the total moment: 0.000 μB/atom
crystal system: cubic

Cell lengths 11.746, 11.746, 11.746 Å; angles 90.00, 90.00, 90.00 degrees
Space group Fm-3m (No. 225)
Unique sites:
Cs1 0.250 0.250 0.250 [8 per cell]
Hg1 0.000 0.000 0.000 [4 per cell]
Bi1 0.000 0.000 0.500 [4 per cell]
Br1 0.000 0.000 0.255 [24 per cell]


The following is a GGA-PBE calculation of crystalline LaCo2Sn at its relaxed geometry, from Alexandria via LeMat-Bulk.

Calculated values
Fermi-level density of states: 0.767 states/eV per atom
size of the total moment: 0.581 μB/atom
formation enthalpy at 0 K: 98 meV per atom
crystal system: tetragonal

Cell lengths 4.681, 4.681, 17.388 Å; angles 90.00, 90.00, 90.00 degrees
Space group I-42d (No. 122)
Unique sites:
La1 0.000 0.000 0.000 [4 per cell]
Co1 0.022 0.750 0.625 [8 per cell]
Sn1 0.000 0.000 0.500 [4 per cell]


The following is a GGA-PBE calculation of crystalline KOsW3 at its relaxed geometry, from Alexandria via LeMat-Bulk.

Calculated values
Fermi-level density of states: 1.429 states/eV per atom
polymorph energy (0 for the lowest one): 0 meV per atom
size of the total moment: 0.125 μB/atom
formation enthalpy at 0 K: 2056 meV per atom
crystal system: cubic

Cell lengths 4.889, 4.889, 4.889 Å; angles 90.00, 90.00, 90.00 degrees
Space group Pm-3m (No. 221)
Unique sites:
K1 0.000 0.000 0.000 [1 per cell]
Os1 0.500 0.500 0.500 [1 per cell]
W1 0.000 0.500 0.500 [3 per cell]


The following is a GGA-PBE calculation of crystalline La2AgPd3Au12 at its relaxed geometry, from Alexandria via LeMat-Bulk.

Calculated values
Fermi-level density of states: 0.190 states/eV per atom
size of the total moment: 0.000 μB/atom
formation enthalpy at 0 K: 4 meV per atom
crystal system: trigonal

Cell lengths 8.6511, 8.6511, 20.1670 Å; angles 90.00, 90.00, 120.00 degrees
Space group R-3m (No. 166, hexagonal axes)
Unique sites:
La1 0.0000 0.0000 0.1170 [6 per cell]
Ag1 0.0000 0.0000 0.5000 [3 per cell]
Pd1 0.0000 0.5000 0.0000 [9 per cell]
Au1 0.9998 0.4999 0.3755 [18 per cell]
Au2 0.0141 0.5071 0.8693 [18 per cell]


The following is a GGA-PBE calculation of crystalline Ag2HgS2 at its relaxed geometry, from Alexandria via LeMat-Bulk.

Calculated values
Fermi-level density of states: 0.118 states/eV per atom
formation energy from raw total energies: 0.030 eV/atom
size of the total moment: 0.000 μB/atom
crystal system: tetragonal

Cell lengths 4.518, 4.518, 6.997 Å; angles 90.00, 90.00, 90.00 degrees
Space group P-4m2 (No. 115)
Unique sites:
Ag1 0.000 0.000 0.202 [2 per cell]
Hg1 0.500 0.500 0.500 [1 per cell]
S1 0.000 0.500 0.698 [2 per cell]